First-principles (PBE) data for a geometry-optimized Na2CdTe structure, as listed in Alexandria.

abc: 6.039 6.039 18.316
angles: 90.00 90.00 90.00
Space group I-42d (No. 122)
Unique sites:
Na1 0.183 0.250 0.125 (multiplicity 8)
Cd1 0.000 0.000 0.500 (multiplicity 4)
Te1 0.000 0.000 0.000 (multiplicity 4)

Values from the calculation:
- energy relative to the lowest polymorph listed for this composition (eV/atom) = 0.207
- DOS at the Fermi energy (states/eV/cell) = 0.00
- calculated total energy (eV per atom) = -1.98


First-principles (PBE) data for a geometry-optimized Pr2SmHoSe5 structure, as listed in Alexandria.

abc: 5.117 5.117 10.892
angles: 90.00 90.00 90.00
Space group P4/mmm (No. 123)
Unique sites:
Pr1 0.000 0.000 0.181 (multiplicity 2)
Sm1 0.500 0.500 0.500 (multiplicity 1)
Ho1 0.500 0.500 0.000 (multiplicity 1)
Se1 0.000 0.000 0.500 (multiplicity 1)
Se2 0.000 0.500 0.000 (multiplicity 2)
Se3 0.500 0.500 0.251 (multiplicity 2)

Values from the calculation:
- DOS at the Fermi energy (states/eV/cell) = 6.18
- calculated total energy (eV per atom) = -5.34


First-principles (PBE) data for a geometry-optimized Cs2RbO structure, as listed in Alexandria.

abc: 9.132 9.132 12.178
angles: 90.00 90.00 90.00
Space group I-42d (No. 122)
Unique sites:
Cs1 0.068 0.250 0.125 (multiplicity 8)
Rb1 0.000 0.000 0.500 (multiplicity 4)
O1 0.000 0.000 0.000 (multiplicity 4)

Values from the calculation:
- energy relative to the lowest polymorph listed for this composition (eV/atom) = 0.209
- DOS at the Fermi energy (states/eV/cell) = 19.86
- calculated total energy (eV per atom) = -2.43